{"formula": "LaNd6In2", "functional": "PBE", "state": "relaxed", "ef_ev_per_atom": -0.12, "spacegroup": "Cmcm (63)", "lattice": [[9.781, -5.729, 0.000], [9.781, 5.729, 0.000], [0.000, 0.000, 5.416]], "species": ["La", "La", "Nd", "Nd", "Nd", "Nd", "Nd", "Nd", "Nd", "Nd", "Nd", "Nd", "Nd", "Nd", "In", "In", "In", "In"], "frac_coords": [[0.220, 0.780, 0.750], [0.780, 0.220, 0.250], [0.002, 0.218, 0.750], [0.142, 0.349, 0.250], [0.218, 0.002, 0.250], [0.330, 0.503, 0.250], [0.349, 0.142, 0.750], [0.497, 0.670, 0.250], [0.503, 0.330, 0.750], [0.651, 0.858, 0.250], [0.670, 0.497, 0.750], [0.782, 0.998, 0.750], [0.858, 0.651, 0.750], [0.998, 0.782, 0.250], [0.175, 0.503, 0.750], [0.497, 0.825, 0.750], [0.503, 0.175, 0.250], [0.825, 0.497, 0.250]]}